Computed, not measured: an optimized crystal structure of LaGaPCl2 at the PBE level of DFT.

Output
ΔE to the lowest computed polymorph	18	meV per atom
formation energy without anion corrections	-0.843	eV/atom
DOS(E_F)	3.99	states/eV/cell

Lattice parameters (Å, degrees): 4.903 4.903 4.945 90.00 90.00 90.00
Fractional positions:
La 0.000 0.000 0.000
Ga 0.500 0.500 0.500
P 0.500 0.500 0.000
Cl 0.000 0.500 0.500
Cl 0.500 0.000 0.500



Computed, not measured: an optimized crystal structure of LaGaPCl2 at the PBE level of DFT.

Output
ΔE to the lowest computed polymorph	0	meV per atom
formation energy without anion corrections	-0.861	eV/atom
DOS(E_F)	2.77	states/eV/cell

Lattice parameters (Å, degrees): 5.530 5.530 5.728 90.00 90.00 90.00
Fractional positions:
La 0.000 0.000 0.000
Ga 0.500 0.500 0.500
P 0.000 0.000 0.500
Cl 0.000 0.500 0.000
Cl 0.500 0.000 0.000



Computed, not measured: an optimized crystal structure of LaGaPd2Cl at the PBE level of DFT.

Output
formation energy without anion corrections	-0.020	eV/atom
DOS(E_F)	5.43	states/eV/cell

Lattice parameters (Å, degrees): 4.831 4.831 5.390 90.00 90.00 90.00
Fractional positions:
La 0.000 0.000 0.000
Ga 0.500 0.500 0.000
Pd 0.000 0.500 0.500
Pd 0.500 0.000 0.500
Cl 0.500 0.500 0.500



Computed, not measured: an optimized crystal structure of LaPmGaCl at the PBE level of DFT.

Output
formation energy without anion corrections	-0.838	eV/atom
DOS(E_F)	4.00	states/eV/cell

Lattice parameters (Å, degrees): 5.273 5.273 5.273 60.00 60.00 60.00
Fractional positions:
La 0.000 0.000 0.000
Pm 0.500 0.500 0.500
Ga 0.250 0.250 0.250
Cl 0.750 0.750 0.750



Computed, not measured: an optimized crystal structure of La4GaPtCl2 at the PBE level of DFT.

Output
formation energy without anion corrections	-1.231	eV/atom
DOS(E_F)	6.66	states/eV/cell

Lattice parameters (Å, degrees): 7.418 4.208 7.755 90.00 108.98 90.00
Fractional positions:
La 0.227 0.000 0.235
La 0.249 0.500 0.756
La 0.751 0.500 0.244
La 0.773 0.000 0.765
Ga 0.000 0.000 0.500
Pt 0.000 0.500 0.000
Cl 0.500 0.000 0.000
Cl 0.500 0.500 0.500



Computed, not measured: an optimized crystal structure of Rb2LaGaCl6 at the PBE level of DFT.

Output
formation energy without anion corrections	-1.862	eV/atom
DOS(E_F)	0.00	states/eV/cell

Lattice parameters (Å, degrees): 8.038 8.038 8.038 60.00 60.00 60.00
Fractional positions:
Rb 0.250 0.250 0.250
Rb 0.750 0.750 0.750
La 0.000 0.000 0.000
Ga 0.500 0.500 0.500
Cl 0.244 0.244 0.756
Cl 0.244 0.756 0.244
Cl 0.244 0.756 0.756
Cl 0.756 0.244 0.244
Cl 0.756 0.244 0.756
Cl 0.756 0.756 0.244



Computed, not measured: an optimized crystal structure of La4GaRhCl2 at the PBE level of DFT.

Output
formation energy without anion corrections	-1.133	eV/atom
DOS(E_F)	7.06	states/eV/cell

Lattice parameters (Å, degrees): 7.605 4.169 7.649 90.00 108.16 90.00
Fractional positions:
La 0.220 0.000 0.232
La 0.233 0.500 0.764
La 0.767 0.500 0.236
La 0.780 0.000 0.768
Ga 0.000 0.000 0.500
Rh 0.000 0.500 0.000
Cl 0.500 0.000 0.000
Cl 0.500 0.500 0.500



Computed, not measured: an optimized crystal structure of La8GaRh3Cl4 at the PBE level of DFT.

Output
formation energy without anion corrections	-1.187	eV/atom
DOS(E_F)	15.43	states/eV/cell

Lattice parameters (Å, degrees): 8.962 8.962 8.962 56.47 56.47 56.47
Fractional positions:
La 0.223 0.743 0.743
La 0.238 0.238 0.238
La 0.257 0.257 0.777
La 0.257 0.777 0.257
La 0.743 0.223 0.743
La 0.743 0.743 0.223
La 0.762 0.762 0.762
La 0.777 0.257 0.257
Ga 0.500 0.500 0.500
Rh 0.000 0.000 0.500
Rh 0.000 0.500 0.000
Rh 0.500 0.000 0.000
Cl 0.000 0.000 0.000
Cl 0.000 0.500 0.500
Cl 0.500 0.000 0.500
Cl 0.500 0.500 0.000



Computed, not measured: an optimized crystal structure of LaGaS2Cl at the PBE level of DFT.

Output
ΔE to the lowest computed polymorph	0	meV per atom
formation energy without anion corrections	-1.093	eV/atom
DOS(E_F)	4.11	states/eV/cell

Lattice parameters (Å, degrees): 4.865 4.865 4.733 90.00 90.00 90.00
Fractional positions:
La 0.000 0.000 0.000
Ga 0.500 0.500 0.500
S 0.000 0.500 0.500
S 0.500 0.000 0.500
Cl 0.500 0.500 0.000



Computed, not measured: an optimized crystal structure of La4GaSCl2 at the PBE level of DFT.

Output
formation energy without anion corrections	-1.491	eV/atom
DOS(E_F)	5.70	states/eV/cell

Lattice parameters (Å, degrees): 7.315 4.299 7.419 90.00 110.11 90.00
Fractional positions:
La 0.235 0.000 0.230
La 0.244 0.500 0.760
La 0.756 0.500 0.240
La 0.765 0.000 0.770
Ga 0.500 0.000 0.000
S 0.000 0.500 0.000
Cl 0.000 0.000 0.500
Cl 0.500 0.500 0.500



Computed, not measured: an optimized crystal structure of LaGaS2Cl at the PBE level of DFT.

Output
ΔE to the lowest computed polymorph	168	meV per atom
formation energy without anion corrections	-0.925	eV/atom
DOS(E_F)	5.09	states/eV/cell

Lattice parameters (Å, degrees): 5.492 5.492 5.613 90.00 90.00 90.00
Fractional positions:
La 0.000 0.000 0.000
Ga 0.500 0.500 0.500
S 0.000 0.500 0.000
S 0.500 0.000 0.000
Cl 0.000 0.000 0.500



Computed, not measured: an optimized crystal structure of La4GaS2Cl at the PBE level of DFT.

Output
formation energy without anion corrections	-1.620	eV/atom
DOS(E_F)	5.19	states/eV/cell

Lattice parameters (Å, degrees): 7.383 4.166 7.424 90.00 108.55 90.00
Fractional positions:
La 0.238 0.000 0.231
La 0.255 0.500 0.766
La 0.745 0.500 0.234
La 0.762 0.000 0.769
Ga 0.000 0.000 0.500
S 0.000 0.500 0.000
S 0.500 0.000 0.000
Cl 0.500 0.500 0.500